Y4MgAg3 | PBE-GGA | relaxed

Computed properties:
Calculated formation energy = -0.2626 eV/atom

Structure (POSCAR):
```
Y4MgAg3
1.0
-2.248 -0.644 2.848
0.589 -5.119 -0.693
8.150 0.065 6.448
Mg Ag Y
1 3 4
Cartesian
-0.830 -2.881 1.077
5.060 -0.273 6.316
3.246 -2.849 4.301
0.843 -0.306 2.979
0.000 0.000 0.000
4.075 0.032 3.224
2.395 -2.543 1.316
6.343 -2.512 4.439
```

---

NaAlSb2Te | PBE-GGA | relaxed

Computed properties:
Electronic total energy = -15.70 eV per cell

Structure (POSCAR):
```
NaAlSb2Te
1.0
5.318 0.000 0.000
0.000 5.318 0.000
0.000 0.000 5.643
Te Al Sb Na
1 1 2 1
Cartesian
0.000 0.000 2.821
0.000 0.000 0.000
0.000 2.659 0.000
2.659 0.000 0.000
2.659 2.659 2.821
```

---

| no. | ρ (g/cm³) |
| --- | --- |
| 1 | 5.87 |
| 2 | 4.38 |